A plane-wave DFT calculation with PBE-GGA was carried out for crystalline Ta2BeNi at its relaxed geometry.

Properties
As for the formation energy: -0.141 eV/atom. Its spin magnetization is 0.00 μB/atom. The total energy is -8.444 eV/atom.

a b c (Å): 2.7842 2.7842 7.1456
angles (deg): 90.00 90.00 89.97
With the nearest neighbours (Å) after each atom.
Fractional positions:
Ni 0.5000 0.5000 0.7004  4 Be 2.25-2.26
Ta 0.0000 0.0000 0.9609  4 Ni 2.71, 4 Ta 2.78, 1 Be 2.96
Ta 0.5000 0.5000 0.2924  4 Be 2.68, 4 Ta 2.78, 1 Ni 2.92
Be 0.0000 0.0000 0.5464  4 Ni 2.25-2.26


A plane-wave DFT calculation with PBE-GGA was carried out for crystalline Zr2ScCo at its relaxed geometry.

Properties
As for the formation energy: -0.146 eV/atom. Its spin magnetization is 0.11 μB/atom. The total energy is -7.780 eV/atom.

a b c (Å): 3.2119 3.2119 7.6386
angles (deg): 90.00 90.00 90.00
With the nearest neighbours (Å) after each atom.
Fractional positions:
Zr 0.5000 0.5000 0.2942  4 Co 2.74
Zr 0.0000 0.0000 0.0105  8 Zr 3.14-3.21, 4 Sc 3.28
Co 0.0000 0.0000 0.4948  4 Zr 2.74, 4 Sc 2.76
Sc 0.5000 0.5000 0.7004  4 Co 2.76


A plane-wave DFT calculation with PBE-GGA was carried out for crystalline MgRhSN2 at its relaxed geometry.

Properties
Its spin magnetization is 0.44 μB/atom. The total energy is -4.394 eV/atom. The value obtained for the formation energy from raw total energies is 1.55 eV per atom.

a b c (Å): 3.8394 3.8394 4.9822
angles (deg): 90.00 90.00 90.00
With the nearest neighbours (Å) after each atom.
Fractional positions:
S 0.0000 0.0000 0.5000  2 Mg 2.49, 4 Rh 2.71
N 0.5000 0.0000 0.0000  2 Mg 1.92
N 0.0000 0.5000 0.0000  2 Mg 1.92
Rh 0.5000 0.5000 0.5000  4 S 2.71
Mg 0.0000 0.0000 0.0000  4 N 1.92


A plane-wave DFT calculation with PBE-GGA was carried out for crystalline Na2Bi3Pb2 at its relaxed geometry.

Properties
As for the formation energy: -0.118 eV/atom. Its spin magnetization is 0.00 μB/atom. The total energy is -3.217 eV/atom.

a b c (Å): 4.2332 6.1948 9.0752
angles (deg): 89.73 90.07 70.19
With the nearest neighbours (Å) after each atom.
Fractional positions:
Na 0.4411 0.1194 0.2925  7 Bi 3.30-3.69, 1 Pb 3.44
Na 0.5589 0.8806 0.7075  7 Bi 3.30-3.69, 1 Pb 3.44
Pb 0.2927 0.4141 0.8672  5 Bi 3.31-3.63, 2 Pb 3.36-3.37, 1 Na 3.44
Pb 0.7073 0.5859 0.1328  5 Bi 3.31-3.63, 2 Pb 3.36-3.37, 1 Na 3.44
Bi 0.8261 0.3467 0.5898  2 Bi 3.21, 1 Na 3.30, 2 Pb 3.31-3.32
Bi 0.0000 0.0000 0.0000  6 Pb 3.42-3.63, 4 Na 3.47
Bi 0.1739 0.6533 0.4102  2 Bi 3.21, 1 Na 3.30, 2 Pb 3.31-3.32


A plane-wave DFT calculation with PBE-GGA was carried out for crystalline Tb5Sm4Zn at its relaxed geometry.

Properties
As for the formation energy: -0.056 eV/atom. Its spin magnetization is 0.00 μB/atom. The total energy is -4.386 eV/atom.

a b c (Å): 3.5899 3.5899 24.0040
angles (deg): 90.00 90.00 90.00
With the nearest neighbours (Å) after each atom.
Fractional positions:
Tb 0.5000 0.5000 0.7128  8 Sm 3.58-3.61, 4 Tb 3.59
Tb 0.5000 0.5000 0.9264  4 Zn 3.09
Tb 0.5000 0.5000 0.2872  8 Sm 3.58-3.61, 4 Tb 3.59
Tb 0.5000 0.5000 0.0736  4 Zn 3.09
Tb 0.5000 0.5000 0.5000  4 Tb 3.59, 8 Sm 3.59
Sm 0.0000 0.0000 0.3942  4 Sm 3.59, 8 Tb 3.59-3.61
Sm 0.0000 0.0000 0.6058  4 Sm 3.59, 8 Tb 3.59-3.61
Sm 0.0000 0.0000 0.1818  8 Tb 3.58-3.63, 4 Sm 3.59
Sm 0.0000 0.0000 0.8182  8 Tb 3.58-3.63, 4 Sm 3.59
Zn 0.0000 0.0000 0.0000  8 Tb 3.09


A plane-wave DFT calculation with PBE-GGA was carried out for crystalline Sr2AlCdAu6 at its relaxed geometry.

Properties
As for the formation energy: -0.496 eV/atom. Its spin magnetization is 0.00 μB/atom. The total energy is -3.264 eV/atom.

a b c (Å): 9.0770 5.7058 7.3987
angles (deg): 67.32 48.78 90.00
With the nearest neighbours (Å) after each atom.
Fractional positions:
Sr 0.7165 0.2581 0.4834  7 Au 3.27-3.64
Sr 0.2835 0.7419 0.5166  7 Au 3.27-3.64
Au 0.2629 0.7482 0.0053  1 Al 2.56, 1 Cd 2.80, 2 Au 2.84-2.87
Au 0.7371 0.2518 0.9947  1 Al 2.56, 1 Cd 2.80, 2 Au 2.84-2.87
Au 0.7371 0.7545 0.9941  1 Al 2.56, 1 Cd 2.80, 2 Au 2.84-2.87
Au 0.8887 0.7470 0.5051  1 Al 2.61, 1 Cd 2.82, 2 Au 2.92
Au 0.2629 0.2455 0.0059  1 Al 2.56, 1 Cd 2.80, 2 Au 2.84-2.87
Au 0.1113 0.2530 0.4949  1 Al 2.61, 1 Cd 2.82, 2 Au 2.92
Cd 0.0000 0.0000 0.0000  6 Au 2.80-2.82
Al 0.5000 0.5000 0.0000  6 Au 2.56-2.61


A plane-wave DFT calculation with PBE-GGA was carried out for crystalline Pm2Ho9In at its relaxed geometry.

Properties
As for the formation energy: -0.062 eV/atom. Its spin magnetization is 0.00 μB/atom. The total energy is -4.515 eV/atom.

a b c (Å): 4.9409 4.9409 15.0518
angles (deg): 90.00 90.00 90.00
With the nearest neighbours (Å) after each atom.
Fractional positions:
Ho 0.5000 0.5000 0.6732  4 Pm 3.49, 8 Ho 3.52-3.59
Ho 0.5000 0.0000 0.8398  2 In 3.45, 8 Ho 3.45-3.52, 2 Pm 3.58
Ho 0.5000 0.5000 0.3268  4 Pm 3.49, 8 Ho 3.52-3.59
Ho 0.5000 0.0000 0.5000  8 Ho 3.49-3.59, 4 Pm 3.53
Ho 0.0000 0.5000 0.5000  8 Ho 3.49-3.59, 4 Pm 3.53
Ho 0.0000 0.5000 0.8398  8 Ho 3.45-3.52, 2 In 3.45, 2 Pm 3.58
Ho 0.0000 0.5000 0.1602  8 Ho 3.45-3.52, 2 In 3.45, 2 Pm 3.58
Ho 0.5000 0.0000 0.1602  2 In 3.45, 8 Ho 3.45-3.52, 2 Pm 3.58
Ho 0.5000 0.5000 0.0000  8 Ho 3.45, 4 In 3.49
Pm 0.0000 0.0000 0.3325  12 Ho 3.49-3.58
Pm 0.0000 0.0000 0.6675  12 Ho 3.49-3.58
In 0.0000 0.0000 0.0000  12 Ho 3.45-3.49


A plane-wave DFT calculation with PBE-GGA was carried out for crystalline LaTb4Er8 at its relaxed geometry.

Properties
As for the formation energy: 0.193 eV/atom. Its spin magnetization is 0.00 μB/atom. The total energy is -4.419 eV/atom.

a b c (Å): 7.2792 7.2792 9.8981
angles (deg): 90.00 111.58 120.00
With the nearest neighbours (Å) after each atom.
Fractional positions:
Tb 0.0000 0.5000 0.0000  6 Er 3.54-3.72, 6 Tb 3.64
Tb 0.5000 0.5000 0.0000  6 Er 3.54-3.72, 6 Tb 3.64
Tb 0.0000 0.0000 0.0000  6 Er 3.32, 6 Tb 3.64
Tb 0.5000 0.0000 0.0000  6 Er 3.54-3.72, 6 Tb 3.64
Er 0.5000 0.7500 0.6931  1 La 2.91, 2 Er 3.23
Er 0.0569 0.2500 0.3069  1 La 2.91, 2 Er 3.23
Er 0.9431 0.7500 0.6931  1 La 2.91, 2 Er 3.23
Er 0.5000 0.2500 0.3069  1 La 2.91, 2 Er 3.23
Er 0.5618 0.7809 0.3427  9 Er 3.65-3.66, 3 Tb 3.72
Er 0.0569 0.8069 0.3069  1 La 2.91, 2 Er 3.23
Er 0.4382 0.2191 0.6573  9 Er 3.65-3.66, 3 Tb 3.72
Er 0.9431 0.1931 0.6931  1 La 2.91, 2 Er 3.23
La 0.0000 0.5000 0.5000  6 Er 2.91


A plane-wave DFT calculation with PBE-GGA was carried out for crystalline UZnAu2 at its relaxed geometry.

Properties
As for the formation energy: -0.126 eV/atom. Its spin magnetization is 0.60 μB/atom. The total energy is -4.905 eV/atom.

a b c (Å): 6.8448 4.9295 4.9061
angles (deg): 76.67 88.78 106.75
With the nearest neighbours (Å) after each atom.
Fractional positions:
Au 0.4417 0.2480 0.8810  4 Zn 2.69-2.99, 4 Au 2.80-2.98
Au 0.2036 0.2205 0.4087  3 Zn 2.86-2.95, 4 Au 2.87-3.04, 4 U 3.05-3.11
Au 0.5583 0.7520 0.1190  4 Zn 2.69-2.99, 4 Au 2.80-2.98
Au 0.7964 0.7795 0.5913  3 Zn 2.86-2.95, 4 Au 2.87-3.04, 4 U 3.05-3.11
U 0.9421 0.2637 0.8987  2 U 2.66-2.90
U 0.0579 0.7363 0.1013  2 U 2.66-2.90
Zn 0.6417 0.2599 0.3818  7 Au 2.69-2.99, 1 Zn 2.71
Zn 0.3583 0.7401 0.6182  7 Au 2.69-2.99, 1 Zn 2.71


A plane-wave DFT calculation with PBE-GGA was carried out for crystalline PrDy2In3Te6 at its relaxed geometry.

Properties
Its spin magnetization is 0.00 μB/atom. The total energy is -4.397 eV/atom. The value obtained for the formation energy from raw total energies is -0.98 eV per atom.

a b c (Å): 7.7236 7.7236 8.5104
angles (deg): 98.71 98.71 119.98
With the nearest neighbours (Å) after each atom.
Fractional positions:
In 0.8362 0.1638 0.5000  6 Te 3.39-3.45
In 0.1638 0.8362 0.5000  6 Te 3.39-3.45
In 0.5000 0.5000 0.5000  6 Te 3.38-3.44
Te 0.9255 0.5828 0.7770  2 Dy 3.11-3.12, 1 Pr 3.21, 3 In 3.39-3.45
Te 0.4172 0.0745 0.2230  2 Dy 3.11-3.12, 1 Pr 3.21, 3 In 3.39-3.45
Te 0.7304 0.7304 0.2201  2 Dy 3.11, 1 Pr 3.19, 3 In 3.38-3.44
Te 0.0745 0.4172 0.2230  2 Dy 3.11-3.12, 1 Pr 3.21, 3 In 3.39-3.45
Te 0.5828 0.9255 0.7770  2 Dy 3.11-3.12, 1 Pr 3.21, 3 In 3.39-3.45
Te 0.2696 0.2696 0.7799  2 Dy 3.11, 1 Pr 3.19, 3 In 3.38-3.44
Dy 0.6671 0.3329 0.0000  6 Te 3.11-3.12
Dy 0.3329 0.6671 0.0000  6 Te 3.11-3.12
Pr 0.0000 0.0000 0.0000  6 Te 3.19-3.21


A plane-wave DFT calculation with PBE-GGA was carried out for crystalline Li2SbHIr at its relaxed geometry.

Properties
Its spin magnetization is 0.00 μB/atom. The total energy is -4.365 eV/atom.

a b c (Å): 4.0430 4.0430 3.8298
angles (deg): 90.00 90.00 90.00
With the nearest neighbours (Å) after each atom.
Fractional positions:
Ir 0.0000 0.0000 0.5000  2 H 1.91
Li 0.0000 0.5000 0.0000  2 H 2.02
Li 0.5000 0.0000 0.0000  2 H 2.02
Sb 0.5000 0.5000 0.5000  8 Li 2.78, 4 Ir 2.86
H 0.0000 0.0000 0.0000  2 Ir 1.91, 4 Li 2.02


A plane-wave DFT calculation with PBE-GGA was carried out for crystalline ReNiHg2 at its relaxed geometry.

Properties
As for the formation energy: 0.790 eV/atom. Its spin magnetization is 0.00 μB/atom. The total energy is -3.919 eV/atom.

a b c (Å): 2.8693 3.7785 6.1959
angles (deg): 90.00 90.00 90.00
With the nearest neighbours (Å) after each atom.
Fractional positions:
Re 0.5000 0.5000 0.7500  2 Re 2.87, 8 Hg 2.88, 2 Ni 3.10
Hg 0.0000 0.0000 0.0144  4 Ni 2.79, 3 Hg 2.87-2.92, 4 Re 2.88
Hg 0.0000 0.0000 0.4856  4 Ni 2.79, 3 Hg 2.87-2.92, 4 Re 2.88
Ni 0.5000 0.5000 0.2500  8 Hg 2.79, 2 Ni 2.87, 2 Re 3.10


A plane-wave DFT calculation with PBE-GGA was carried out for crystalline Pr7Rh2Au2 at its relaxed geometry.

Properties
As for the formation energy: -0.415 eV/atom. Its spin magnetization is 0.00 μB/atom. The total energy is -5.389 eV/atom.

a b c (Å): 6.9610 7.2453 6.9610
angles (deg): 89.99 109.48 90.01
With the nearest neighbours (Å) after each atom.
Fractional positions:
Pr 0.9999 0.7372 0.5001  2 Rh 2.81
Pr 0.4999 0.7372 0.0001  2 Rh 2.81
Pr 0.5001 0.2534 0.4999  2 Rh 2.97, 2 Au 3.13
Pr 0.0000 0.0000 0.0000  2 Rh 3.34
Pr 0.4999 0.7466 0.5001  2 Rh 2.97, 2 Au 3.13
Pr 0.0001 0.2628 0.4999  2 Rh 2.81
Pr 0.5001 0.2628 0.9999  2 Rh 2.81
Au 0.8201 0.5000 0.8201  1 Au 2.89, 2 Pr 3.13
Au 0.1799 0.5000 0.1799  1 Au 2.89, 2 Pr 3.13
Rh 0.2942 0.0000 0.7058  6 Pr 2.81-2.97
Rh 0.7058 0.0000 0.2942  6 Pr 2.81-2.97


A plane-wave DFT calculation with PBE-GGA was carried out for crystalline PIrCl2 at its relaxed geometry.

Properties
Its spin magnetization is 0.00 μB/atom. The total energy is -3.706 eV/atom. The value obtained for the formation energy from raw total energies is 0.79 eV per atom.

a b c (Å): 4.4805 4.4805 4.4805
angles (deg): 119.98 119.98 90.04
With the nearest neighbours (Å) after each atom.
Fractional positions:
Ir 0.5000 0.5000 0.0000  4 Cl 2.74, 4 P 2.74
Cl 0.0000 0.0000 0.0000  4 Cl 2.74, 4 P 2.74
Cl 0.2500 0.7500 0.5000  4 Cl 2.74, 4 Ir 2.74
P 0.7500 0.2500 0.5000  4 Cl 2.74, 4 Ir 2.74


A plane-wave DFT calculation with PBE-GGA was carried out for crystalline CuRuRh4 at its relaxed geometry.

Properties
As for the formation energy: 0.517 eV/atom. Its spin magnetization is 0.37 μB/atom. The total energy is -6.612 eV/atom.

a b c (Å): 5.0566 5.0566 5.0566
angles (deg): 60.00 60.00 60.00
With the nearest neighbours (Å) after each atom.
Fractional positions:
Cu 0.0000 0.0000 0.0000  12 Rh 2.96, 4 Ru 3.10
Ru 0.7500 0.7500 0.7500  12 Rh 2.97, 4 Cu 3.10
Rh 0.3748 0.3748 0.3748  6 Rh 2.52-2.53
Rh 0.3748 0.8755 0.3748  6 Rh 2.52-2.53
Rh 0.3748 0.3748 0.8755  6 Rh 2.52-2.53
Rh 0.8755 0.3748 0.3748  6 Rh 2.52-2.53


A plane-wave DFT calculation with PBE-GGA was carried out for crystalline NiSe3 at its relaxed geometry.

Properties
Its spin magnetization is 0.00 μB/atom. The total energy is -3.679 eV/atom. The value obtained for the formation energy from raw total energies is 0.38 eV per atom.

a b c (Å): 12.2823 12.2823 12.2823
angles (deg): 162.02 162.02 25.54
With the nearest neighbours (Å) after each atom.
Fractional positions:
Ni 0.3136 0.3136 0.0000  4 Se 2.45
Ni 0.6864 0.6864 0.0000  4 Se 2.45
Se 0.1450 0.1450 0.0000  4 Ni 2.89, 4 Se 3.16
Se 0.8550 0.8550 0.0000  4 Ni 2.89, 4 Se 3.16
Se 0.5000 0.0000 0.5000  4 Se 2.71
Se 0.2500 0.7500 0.5000  4 Ni 2.45, 4 Se 2.71
Se 0.0000 0.5000 0.5000  4 Se 2.71
Se 0.7500 0.2500 0.5000  4 Ni 2.45, 4 Se 2.71


A plane-wave DFT calculation with PBE-GGA was carried out for crystalline NbCN3 at its relaxed geometry.

Properties
Its spin magnetization is 0.33 μB/atom. The total energy is -6.641 eV/atom. The value obtained for the formation energy from raw total energies is 2.21 eV per atom.

a b c (Å): 4.0742 4.0742 4.0742
angles (deg): 90.00 90.00 90.00
With the nearest neighbours (Å) after each atom.
Fractional positions:
N 0.5000 0.0000 0.0000  2 Nb 2.04
N 0.0000 0.0000 0.5000  2 Nb 2.04
N 0.0000 0.5000 0.0000  2 Nb 2.04
C 0.5000 0.5000 0.5000  12 N 2.88
Nb 0.0000 0.0000 0.0000  6 N 2.04


A plane-wave DFT calculation with PBE-GGA was carried out for crystalline InReTe at its relaxed geometry.

Properties
Its spin magnetization is 0.00 μB/atom. The total energy is -5.654 eV/atom. The value obtained for the formation energy from raw total energies is 0.46 eV per atom.

a b c (Å): 3.3942 3.3942 6.5883
angles (deg): 90.00 90.00 120.00
With the nearest neighbours (Å) after each atom.
Fractional positions:
In 0.0000 0.0000 0.0328  3 Re 2.85
Te 0.3333 0.6667 0.6194  3 Re 2.65
Re 0.6667 0.3333 0.3478  3 Te 2.65, 3 In 2.85


A plane-wave DFT calculation with PBE-GGA was carried out for crystalline Sr3Al2GaO8 at its relaxed geometry.

Properties
Its spin magnetization is 0.06 μB/atom. The total energy is -6.516 eV/atom. The value obtained for the formation energy from raw total energies is -2.57 eV per atom.

a b c (Å): 5.5483 5.5483 7.0934
angles (deg): 90.00 90.00 120.00
With the nearest neighbours (Å) after each atom.
Fractional positions:
Sr 0.6667 0.3333 0.3492  1 O 2.35
Sr 0.3333 0.6667 0.6508  1 O 2.35
Sr 0.0000 0.0000 0.0000  6 O 2.81
Al 0.3333 0.6667 0.2251  4 O 1.73-1.77
Al 0.6667 0.3333 0.7749  4 O 1.73-1.77
O 0.8348 0.1652 0.6726  1 Al 1.77
O 0.6667 0.3333 0.0185  1 Al 1.73
O 0.6697 0.8348 0.3274  1 Al 1.77
O 0.3333 0.6667 0.9815  1 Al 1.73
O 0.3303 0.1652 0.6726  1 Al 1.77
O 0.8348 0.6697 0.6726  1 Al 1.77
O 0.1652 0.8348 0.3274  1 Al 1.77
O 0.1652 0.3303 0.3274  1 Al 1.77
Ga 0.0000 0.0000 0.5000  6 O 2.00


A plane-wave DFT calculation with PBE-GGA was carried out for crystalline NdThSnTe at its relaxed geometry.

Properties
Its spin magnetization is 0.00 μB/atom. The total energy is -5.798 eV/atom. The value obtained for the formation energy from raw total energies is -0.96 eV per atom.

a b c (Å): 4.5431 4.5431 7.7702
angles (deg): 73.00 73.00 60.00
With the nearest neighbours (Å) after each atom.
Fractional positions:
Te 0.1945 0.1945 0.4167  3 Th 3.24, 3 Nd 3.25
Th 0.9476 0.9476 0.1572  3 Sn 3.15, 3 Te 3.24
Sn 0.6937 0.6937 0.9189  3 Th 3.15, 3 Nd 3.16
Nd 0.4407 0.4407 0.6780  3 Sn 3.16, 3 Te 3.25